Below is a relaxed YAsOs3 crystal, with properties calculated at the PBE-GGA level.

Structure (POSCAR):
```
YAsOs3
1.0
4.576 0.000 0.000
0.000 4.576 0.000
0.000 0.000 4.576
Y As Os
1 1 3
direct
0.000 0.000 0.000
0.500 0.500 0.500
0.000 0.500 0.500
0.500 0.000 0.500
0.500 0.500 0.000
```

Computed properties:
For the excess energy over the best structure of this formula in the dataset, the calculation gives 0 meV/atom. Its symmetry is Pm-3m. Its total energy is -8.239 eV per atom. Its energy relative to the elements is 721.8 meV per atom. The total magnetic moment is 0.00 μB per formula unit.